First-principles (GGA-PBE) data for a geometry-optimized YHo14Er structure, as listed in Alexandria. Values from VASP.

The structure in Quantum ESPRESSO input format:
```
&SYSTEM
  ibrav = 0, nat = 16, ntyp = 3
/
ATOMIC_SPECIES
Y 88.91 Y.upf
Ho 164.93 Ho.upf
Er 167.26 Er.upf
CELL_PARAMETERS angstrom
11.389 0.000 0.000
0.000 3.544 6.137
0.000 -3.544 6.137
ATOMIC_POSITIONS crystal
Y 0.000 0.000 0.000
Ho 0.000 0.000 0.500
Ho 0.000 0.500 0.000
Ho 0.249 0.667 0.667
Ho 0.250 0.167 0.666
Ho 0.250 0.666 0.167
Ho 0.251 0.167 0.167
Ho 0.500 0.334 0.334
Ho 0.500 0.334 0.834
Ho 0.500 0.834 0.334
Ho 0.500 0.834 0.834
Ho 0.749 0.167 0.167
Ho 0.750 0.167 0.666
Ho 0.750 0.666 0.167
Ho 0.751 0.667 0.667
Er 0.000 0.500 0.500
```

Output
size of the total moment	0.00	μB/f.u.
total energy	-4.6906	eV/atom


First-principles (GGA-PBE) data for a geometry-optimized Y3Ho6Er2 structure, as listed in Alexandria. Values from VASP.

The structure in Quantum ESPRESSO input format:
```
&SYSTEM
  ibrav = 0, nat = 11, ntyp = 3
/
ATOMIC_SPECIES
Y 88.91 Y.upf
Ho 164.93 Ho.upf
Er 167.26 Er.upf
CELL_PARAMETERS angstrom
-2.354 2.354 16.465
2.354 -2.354 16.465
2.354 2.354 -16.465
ATOMIC_POSITIONS crystal
Y 0.000 0.000 0.000
Y 0.202 0.202 0.000
Y 0.798 0.798 0.000
Ho 0.120 0.620 0.500
Ho 0.307 0.307 0.000
Ho 0.380 0.880 0.500
Ho 0.620 0.120 0.500
Ho 0.693 0.693 0.000
Ho 0.880 0.380 0.500
Er 0.454 0.454 0.000
Er 0.546 0.546 0.000
```

Output
size of the total moment	0.00	μB/f.u.
total energy	-4.8077	eV/atom


First-principles (GGA-PBE) data for a geometry-optimized YHo5Er structure, as listed in Alexandria. Values from VASP.

The structure in Quantum ESPRESSO input format:
```
&SYSTEM
  ibrav = 0, nat = 14, ntyp = 3
/
ATOMIC_SPECIES
Y 88.91 Y.upf
Ho 164.93 Ho.upf
Er 167.26 Er.upf
CELL_PARAMETERS angstrom
5.774 0.000 0.000
0.000 8.602 0.000
0.000 0.000 11.923
ATOMIC_POSITIONS crystal
Y 0.000 0.000 0.000
Y 0.500 0.500 0.500
Ho 0.000 0.000 0.256
Ho 0.000 0.000 0.744
Ho 0.000 0.322 0.500
Ho 0.000 0.500 0.000
Ho 0.000 0.678 0.500
Ho 0.500 0.000 0.500
Ho 0.500 0.178 0.000
Ho 0.500 0.500 0.244
Ho 0.500 0.500 0.756
Ho 0.500 0.822 0.000
Er 0.000 0.000 0.500
Er 0.500 0.500 0.000
```

Output
size of the total moment	0.00	μB/f.u.
energy above the most stable polymorph in this dataset	689	kJ/mol of formula units


First-principles (GGA-PBE) data for a geometry-optimized YHo5Er3 structure, as listed in Alexandria. Values from VASP.

The structure in Quantum ESPRESSO input format:
```
&SYSTEM
  ibrav = 0, nat = 18, ntyp = 3
/
ATOMIC_SPECIES
Y 88.91 Y.upf
Ho 164.93 Ho.upf
Er 167.26 Er.upf
CELL_PARAMETERS angstrom
8.131 -4.356 0.000
8.131 4.356 0.000
-7.388 0.000 8.104
ATOMIC_POSITIONS crystal
Y 0.171 0.829 0.750
Y 0.829 0.171 0.250
Ho 0.024 0.783 0.382
Ho 0.033 0.603 0.835
Ho 0.217 0.976 0.118
Ho 0.266 0.734 0.250
Ho 0.397 0.967 0.665
Ho 0.603 0.033 0.335
Ho 0.734 0.266 0.750
Ho 0.783 0.024 0.882
Ho 0.967 0.397 0.165
Ho 0.976 0.217 0.618
Er 0.249 0.318 0.534
Er 0.318 0.249 0.034
Er 0.500 0.500 0.000
Er 0.500 0.500 0.500
Er 0.682 0.751 0.966
Er 0.751 0.682 0.466
```

Output
size of the total moment	0.00	μB/f.u.
energy above the most stable polymorph in this dataset	0	kJ/mol of formula units


First-principles (GGA-PBE) data for a geometry-optimized YHo4Er7 structure, as listed in Alexandria. Values from VASP.

The structure in Quantum ESPRESSO input format:
```
&SYSTEM
  ibrav = 0, nat = 12, ntyp = 3
/
ATOMIC_SPECIES
Y 88.91 Y.upf
Ho 164.93 Ho.upf
Er 167.26 Er.upf
CELL_PARAMETERS angstrom
6.450 0.000 0.000
0.985 6.673 0.000
2.040 0.402 8.691
ATOMIC_POSITIONS crystal
Y 0.000 0.000 0.000
Ho 0.161 0.616 0.311
Ho 0.362 0.195 0.714
Ho 0.638 0.805 0.286
Ho 0.839 0.384 0.689
Er 0.000 0.500 0.000
Er 0.190 0.106 0.387
Er 0.316 0.703 0.642
Er 0.484 0.250 0.051
Er 0.516 0.750 0.949
Er 0.684 0.297 0.358
Er 0.810 0.894 0.613
```

Output
size of the total moment	0.00	μB/f.u.
energy above the most stable polymorph in this dataset	0	kJ/mol of formula units


First-principles (GGA-PBE) data for a geometry-optimized Y3Ho5Er structure, as listed in Alexandria. Values from VASP.

The structure in Quantum ESPRESSO input format:
```
&SYSTEM
  ibrav = 0, nat = 18, ntyp = 3
/
ATOMIC_SPECIES
Y 88.91 Y.upf
Ho 164.93 Ho.upf
Er 167.26 Er.upf
CELL_PARAMETERS angstrom
9.680 0.000 0.000
-4.840 8.383 0.000
0.000 0.000 6.975
ATOMIC_POSITIONS crystal
Y 0.000 0.359 0.250
Y 0.000 0.641 0.750
Y 0.359 0.000 0.250
Y 0.359 0.359 0.750
Y 0.641 0.000 0.750
Y 0.641 0.641 0.250
Ho 0.000 0.306 0.750
Ho 0.000 0.694 0.250
Ho 0.306 0.000 0.750
Ho 0.306 0.306 0.250
Ho 0.333 0.667 0.000
Ho 0.333 0.667 0.500
Ho 0.667 0.333 0.000
Ho 0.667 0.333 0.500
Ho 0.694 0.000 0.250
Ho 0.694 0.694 0.750
Er 0.000 0.000 0.000
Er 0.000 0.000 0.500
```

Output
size of the total moment	0.01	μB/f.u.
energy above the most stable polymorph in this dataset	0	kJ/mol of formula units


First-principles (GGA-PBE) data for a geometry-optimized Y4Ho5Er3 structure, as listed in Alexandria. Values from VASP.

The structure in Quantum ESPRESSO input format:
```
&SYSTEM
  ibrav = 0, nat = 12, ntyp = 3
/
ATOMIC_SPECIES
Y 88.91 Y.upf
Ho 164.93 Ho.upf
Er 167.26 Er.upf
CELL_PARAMETERS angstrom
7.991 -2.924 0.000
7.991 2.924 0.000
-4.179 0.000 8.255
ATOMIC_POSITIONS crystal
Y 0.080 0.080 0.438
Y 0.214 0.214 0.878
Y 0.786 0.786 0.122
Y 0.920 0.920 0.562
Ho 0.000 0.000 0.000
Ho 0.327 0.327 0.615
Ho 0.427 0.427 0.299
Ho 0.573 0.573 0.701
Ho 0.673 0.673 0.385
Er 0.210 0.210 0.233
Er 0.500 0.500 0.000
Er 0.790 0.790 0.767
```

Output
size of the total moment	0.57	μB/f.u.
energy above the most stable polymorph in this dataset	0	kJ/mol of formula units


First-principles (GGA-PBE) data for a geometry-optimized Y5Ho3Er2 structure, as listed in Alexandria. Values from VASP.

The structure in Quantum ESPRESSO input format:
```
&SYSTEM
  ibrav = 0, nat = 20, ntyp = 3
/
ATOMIC_SPECIES
Y 88.91 Y.upf
Ho 164.93 Ho.upf
Er 167.26 Er.upf
CELL_PARAMETERS angstrom
5.342 -7.932 0.000
5.342 7.932 0.000
-5.341 0.000 7.722
ATOMIC_POSITIONS crystal
Y 0.030 0.970 0.750
Y 0.138 0.362 0.748
Y 0.230 0.770 0.750
Y 0.270 0.730 0.250
Y 0.362 0.138 0.248
Y 0.638 0.862 0.752
Y 0.730 0.270 0.750
Y 0.770 0.230 0.250
Y 0.862 0.638 0.252
Y 0.970 0.030 0.250
Ho 0.030 0.270 0.047
Ho 0.270 0.030 0.547
Ho 0.470 0.530 0.250
Ho 0.530 0.470 0.750
Ho 0.730 0.970 0.453
Ho 0.970 0.730 0.953
Er 0.234 0.472 0.454
Er 0.472 0.234 0.954
Er 0.528 0.766 0.046
Er 0.766 0.528 0.546
```

Output
size of the total moment	0.00	μB/f.u.
total energy	-5.3244	eV/atom


First-principles (GGA-PBE) data for a geometry-optimized Y3HoEr5 structure, as listed in Alexandria. Values from VASP.

The structure in Quantum ESPRESSO input format:
```
&SYSTEM
  ibrav = 0, nat = 18, ntyp = 3
/
ATOMIC_SPECIES
Y 88.91 Y.upf
Ho 164.93 Ho.upf
Er 167.26 Er.upf
CELL_PARAMETERS angstrom
9.042 -3.156 0.000
9.042 3.156 0.000
-4.417 0.000 10.472
ATOMIC_POSITIONS crystal
Y 0.000 0.000 0.000
Y 0.000 0.000 0.500
Y 0.004 0.654 0.631
Y 0.346 0.996 0.869
Y 0.654 0.004 0.131
Y 0.996 0.346 0.369
Ho 0.131 0.869 0.250
Ho 0.869 0.131 0.750
Er 0.132 0.532 0.288
Er 0.150 0.530 0.990
Er 0.392 0.608 0.750
Er 0.468 0.868 0.212
Er 0.470 0.850 0.510
Er 0.530 0.150 0.490
Er 0.532 0.132 0.788
Er 0.608 0.392 0.250
Er 0.850 0.470 0.010
Er 0.868 0.468 0.712
```

Output
size of the total moment	0.00	μB/f.u.
energy above the most stable polymorph in this dataset	0	kJ/mol of formula units


First-principles (GGA-PBE) data for a geometry-optimized Y6HoEr4 structure, as listed in Alexandria. Values from VASP.

The structure in Quantum ESPRESSO input format:
```
&SYSTEM
  ibrav = 0, nat = 11, ntyp = 3
/
ATOMIC_SPECIES
Y 88.91 Y.upf
Ho 164.93 Ho.upf
Er 167.26 Er.upf
CELL_PARAMETERS angstrom
10.855 0.000 0.000
-5.428 9.401 0.000
0.000 0.000 3.537
ATOMIC_POSITIONS crystal
Y 0.183 0.365 0.000
Y 0.183 0.817 0.000
Y 0.521 0.042 0.500
Y 0.521 0.479 0.500
Y 0.635 0.817 0.000
Y 0.958 0.479 0.500
Ho 0.000 0.000 0.500
Er 0.319 0.159 0.000
Er 0.333 0.667 0.500
Er 0.841 0.159 0.000
Er 0.841 0.681 0.000
```

Output
size of the total moment	0.00	μB/f.u.
energy above the most stable polymorph in this dataset	142	kJ/mol of formula units


First-principles (GGA-PBE) data for a geometry-optimized YHo2Er2 structure, as listed in Alexandria. Values from VASP.

The structure in Quantum ESPRESSO input format:
```
&SYSTEM
  ibrav = 0, nat = 10, ntyp = 3
/
ATOMIC_SPECIES
Y 88.91 Y.upf
Ho 164.93 Ho.upf
Er 167.26 Er.upf
CELL_PARAMETERS angstrom
9.248 0.000 0.000
0.000 9.248 0.000
0.000 0.000 3.679
ATOMIC_POSITIONS crystal
Y 0.000 0.000 0.000
Y 0.500 0.500 0.000
Ho 0.127 0.373 0.000
Ho 0.373 0.873 0.000
Ho 0.627 0.127 0.000
Ho 0.873 0.627 0.000
Er 0.171 0.671 0.500
Er 0.329 0.171 0.500
Er 0.671 0.829 0.500
Er 0.829 0.329 0.500
```

Output
size of the total moment	0.00	μB/f.u.
energy above the most stable polymorph in this dataset	0	kJ/mol of formula units


First-principles (GGA-PBE) data for a geometry-optimized Y3HoEr5 structure, as listed in Alexandria. Values from VASP.

The structure in Quantum ESPRESSO input format:
```
&SYSTEM
  ibrav = 0, nat = 18, ntyp = 3
/
ATOMIC_SPECIES
Y 88.91 Y.upf
Ho 164.93 Ho.upf
Er 167.26 Er.upf
CELL_PARAMETERS angstrom
7.566 -5.634 0.000
7.566 5.634 0.000
-6.481 0.000 7.576
ATOMIC_POSITIONS crystal
Y 0.000 0.000 0.000
Y 0.011 0.011 0.315
Y 0.477 0.477 0.135
Y 0.500 0.500 0.500
Y 0.523 0.523 0.865
Y 0.989 0.989 0.685
Ho 0.249 0.249 0.103
Ho 0.751 0.751 0.897
Er 0.092 0.594 0.745
Er 0.220 0.220 0.731
Er 0.240 0.760 0.500
Er 0.279 0.279 0.466
Er 0.406 0.908 0.255
Er 0.594 0.092 0.745
Er 0.721 0.721 0.534
Er 0.760 0.240 0.500
Er 0.780 0.780 0.269
Er 0.908 0.406 0.255
```

Output
size of the total moment	0.00	μB/f.u.
energy above the most stable polymorph in this dataset	209	kJ/mol of formula units